! NbAl5Ru6 | Alexandria via LeMat-Bulk | PBE-GGA | relaxed; values from VASP
&SYSTEM
  ibrav = 0, nat = 12, ntyp = 3
/
ATOMIC_SPECIES
Nb 92.91 Nb.upf
Al 26.98 Al.upf
Ru 101.07 Ru.upf
ATOMIC_POSITIONS angstrom
Nb 0.0000 0.0000 0.0000
Al 2.1506 0.0000 2.1067
Al 0.0000 0.0000 4.2593
Al 0.0000 3.0436 0.0000
Al 0.0000 0.0000 8.5875
Al 0.0000 3.0436 4.3167
Ru 2.1506 -1.4911 4.2536
Ru 2.1506 1.5740 0.0000
Ru 0.0000 1.5525 2.1698
Ru 2.1506 1.4911 4.2536
Ru 0.0000 1.4696 6.4234
Ru 0.0000 4.5348 2.1698
CELL_PARAMETERS angstrom
-2.1506 3.0436 6.4234
2.1506 -3.0436 6.4234
2.1506 3.0436 -6.4234
! ΔH_f (0 K)   -0.67 eV/atom

***

! RbTcH3 | Alexandria via LeMat-Bulk | PBE-GGA | relaxed; values from VASP
&SYSTEM
  ibrav = 0, nat = 5, ntyp = 3
/
ATOMIC_SPECIES
Rb 85.47 Rb.upf
Tc 98.00 Tc.upf
H 1.01 H.upf
ATOMIC_POSITIONS angstrom
Rb 0.0000 0.0000 0.0000
Tc 1.9647 1.9647 1.9647
H 0.0000 1.9647 1.9647
H 1.9647 0.0000 1.9647
H 1.9647 1.9647 0.0000
CELL_PARAMETERS angstrom
3.9295 0.0000 0.0000
0.0000 3.9295 0.0000
0.0000 0.0000 3.9295
! Relative energy among the computed polymorphs   0.000 eV per atom

***

! Pm3SmDy2 | Alexandria via LeMat-Bulk | PBE-GGA | relaxed; values from VASP
&SYSTEM
  ibrav = 0, nat = 12, ntyp = 3
/
ATOMIC_SPECIES
Pm 145.00 Pm.upf
Sm 150.36 Sm.upf
Dy 162.50 Dy.upf
ATOMIC_POSITIONS angstrom
Pm 5.5966 -2.8967 1.6930
Pm 0.0000 0.0000 1.6930
Pm 5.5966 2.8967 1.6930
Pm 0.0000 3.2225 1.6930
Pm 0.0000 0.0000 5.0790
Pm 0.0000 9.0159 1.6930
Sm 5.5966 0.0000 0.0000
Sm 0.0000 6.1192 0.0000
Dy 2.7226 2.2011 0.0000
Dy 2.7226 -2.2011 3.3860
Dy 2.8740 8.3204 0.0000
Dy 2.8740 3.9181 3.3860
CELL_PARAMETERS angstrom
-5.5966 6.1192 3.3860
5.5966 -6.1192 3.3860
5.5966 6.1192 -3.3860
! Relative energy among the computed polymorphs   0.561 eV per atom
! ΔH_f (0 K)   0.58 eV/atom

***

! NaCaRu2 | Alexandria via LeMat-Bulk | PBE-GGA | relaxed; values from VASP
&SYSTEM
  ibrav = 0, nat = 8, ntyp = 3
/
ATOMIC_SPECIES
Na 22.99 Na.upf
Ca 40.08 Ca.upf
Ru 101.07 Ru.upf
ATOMIC_POSITIONS angstrom
Na 1.2899 1.1426 4.2410
Na 3.8181 3.3738 6.3541
Ca 1.3001 1.1413 8.4020
Ca 3.8078 3.3750 2.1931
Ru 1.0769 0.9545 1.0388
Ru 1.7293 3.2813 10.5950
Ru 3.3787 1.2351 0.0001
Ru 4.0310 3.5619 9.5563
CELL_PARAMETERS angstrom
4.4736 0.0000 0.0000
0.5352 4.4419 0.0000
0.0991 0.0745 10.5951
! Relative energy among the computed polymorphs   0.000 eV per atom
! ΔH_f (0 K)   0.16 eV/atom